Entry 1:
Here is a geometry-optimized Sc2Zn2Re structure from Alexandria. Energies are from PBE.

CIF file:
```
data_Sc2Zn2Re
_chemical_formula_sum 'Sc4 Zn4 Re2'
_cell_length_a 6.7694
_cell_length_b 6.7694
_cell_length_c 3.8661
_cell_angle_alpha 90.00
_cell_angle_beta 90.00
_cell_angle_gamma 90.00
_symmetry_space_group_name_H-M 'P 4/m b m'
_symmetry_Int_Tables_number 127
_symmetry_space_group_name_Hall '-P 4 2ab'
loop_
_atom_site_label
_atom_site_fract_x
_atom_site_fract_y
_atom_site_fract_z
_atom_site_occupancy
Sc1 0.1877 0.3123 0.0000 1
Zn1 0.1257 0.6257 0.5000 1
Re1 0.0000 0.0000 0.5000 1
```

Output
As for the density of states at the Fermi level: 8.6 states/eV/cell. Its formation energy is -0.01 eV/atom. As for the electronic total energy: -55.4 eV/cell.

Entry 2:
Here is a geometry-optimized LaTaIrN2 structure from Alexandria. Energies are from PBE.

CIF file:
```
data_LaTaIrN2
_chemical_formula_sum 'La1 Ta1 Ir1 N2'
_cell_length_a 3.9197
_cell_length_b 3.9197
_cell_length_c 7.9567
_cell_angle_alpha 90.00
_cell_angle_beta 90.00
_cell_angle_gamma 90.00
_symmetry_space_group_name_H-M 'P 4/m m m'
_symmetry_Int_Tables_number 123
_symmetry_space_group_name_Hall '-P 4 2'
loop_
_atom_site_label
_atom_site_fract_x
_atom_site_fract_y
_atom_site_fract_z
_atom_site_occupancy
La1 0.0000 0.0000 0.0000 1
Ta1 0.0000 0.0000 0.5000 1
Ir1 0.5000 0.5000 0.5000 1
N1 0.0000 0.5000 0.0000 1
```

Output
As for the density of states at the Fermi level: 4.0 states/eV/cell. As for the electronic total energy: -33.6 eV/cell. Its formation energy (no corrections) is 1.7367 eV per atom.